(1)
DFT (PBE) results for a geometry-optimized AlZn4Si structure.

a = 5.1463 Å, b = 5.1463 Å, c = 5.1463 Å
α = 60.00°, β = 60.00°, γ = 60.00°
With the nearest neighbours (Å) after each atom.
Fractional coordinates of all 6 atoms:
Al (0.0000, 0.0000, 0.0000)  12 Zn 3.02, 4 Si 3.15
Zn (0.3751, 0.3751, 0.3751)  6 Zn 2.57
Zn (0.3751, 0.3751, 0.8748)  6 Zn 2.57
Zn (0.3751, 0.8748, 0.3751)  6 Zn 2.57
Zn (0.8748, 0.3751, 0.3751)  6 Zn 2.57
Si (0.7500, 0.7500, 0.7500)  12 Zn 3.02, 4 Al 3.15

Output
Volume = 96.4 Å³ per cell
Magnetic moment = 0.00 Bohr magnetons per cell
Formation energy (no corrections) = 0.257 eV per atom

=====

(2)
DFT (PBE) results for a geometry-optimized Al2ZnSi structure.

a = 4.8427 Å, b = 4.8427 Å, c = 4.8427 Å
α = 130.94°, β = 130.94°, γ = 71.91°
With the nearest neighbours (Å) after each atom.
Fractional coordinates of all 4 atoms:
Al (0.0000, 0.0000, 0.0000)  4 Al 2.81, 4 Si 2.81, 4 Zn 2.84
Al (0.7500, 0.2500, 0.5000)  4 Al 2.81, 4 Zn 2.81, 4 Si 2.84
Zn (0.5000, 0.5000, 0.0000)  8 Al 2.81-2.84, 4 Si 2.81
Si (0.2500, 0.7500, 0.5000)  8 Al 2.81-2.84, 4 Zn 2.81

Output
Volume = 63.4 Å³ per cell
Magnetic moment = 0.00 Bohr magnetons per cell
Formation energy (no corrections) = 0.152 eV per atom

=====

(3)
DFT (PBE) results for a geometry-optimized Al2ZnSi structure.

a = 5.7274 Å, b = 5.7274 Å, c = 5.7274 Å
α = 152.72°, β = 130.71°, γ = 57.25°
With the nearest neighbours (Å) after each atom.
Fractional coordinates of all 4 atoms:
Al (0.0000, 0.0000, 0.0000)  4 Al 2.70-2.94, 2 Si 2.70, 4 Zn 2.76
Al (0.7398, 0.2398, 0.5000)  4 Al 2.70-2.94, 4 Si 2.74, 2 Zn 2.99
Zn (0.4748, 0.4748, 0.0000)  2 Zn 2.70, 6 Al 2.76-2.99, 2 Si 2.78
Si (0.2330, 0.7330, 0.5000)  2 Si 2.70, 6 Al 2.70-2.74, 2 Zn 2.78

Output
Volume = 64.9 Å³ per cell
Magnetic moment = 0.00 Bohr magnetons per cell
Formation energy (no corrections) = 0.167 eV per atom

=====

(4)
DFT (PBE) results for a geometry-optimized AlZn2Si structure.

a = 5.7792 Å, b = 5.7792 Å, c = 5.7792 Å
α = 154.05°, β = 130.51°, γ = 56.72°
With the nearest neighbours (Å) after each atom.
Fractional coordinates of all 4 atoms:
Al (0.0000, 0.0000, 0.0000)  2 Al 2.59, 4 Si 2.75
Zn (0.2598, 0.7598, 0.5000)  6 Zn 2.59-2.75, 2 Si 2.77
Zn (0.7402, 0.2402, 0.5000)  6 Zn 2.59-2.75, 2 Si 2.77
Si (0.5000, 0.5000, 0.0000)  2 Si 2.59, 4 Al 2.75, 4 Zn 2.77

Output
Volume = 63.9 Å³ per cell
Magnetic moment = 0.00 Bohr magnetons per cell
Formation energy (no corrections) = 0.177 eV per atom

=====

(5)
DFT (PBE) results for a geometry-optimized AlZn2Si structure.

a = 2.6241 Å, b = 4.8412 Å, c = 5.0203 Å
α = 90.00°, β = 90.00°, γ = 90.00°
With the nearest neighbours (Å) after each atom.
Fractional coordinates of all 4 atoms:
Al (0.0000, 0.0000, 0.0000)  2 Al 2.62, 4 Si 2.75, 4 Zn 2.83
Zn (0.0000, 0.5000, 0.5000)  6 Zn 2.62-2.75, 4 Si 2.83
Zn (0.5000, 0.0000, 0.5000)  6 Zn 2.62-2.75, 4 Al 2.83
Si (0.5000, 0.5000, 0.0000)  2 Si 2.62, 4 Al 2.75, 4 Zn 2.83

Output
Volume = 63.8 Å³ per cell
Magnetic moment = 0.00 Bohr magnetons per cell
Formation energy (no corrections) = 0.175 eV per atom

=====

(6)
DFT (PBE) results for a geometry-optimized Al2ZnSi structure.

a = 2.9390 Å, b = 3.9751 Å, c = 5.5517 Å
α = 90.00°, β = 98.66°, γ = 90.00°
With the nearest neighbours (Å) after each atom.
Fractional coordinates of all 4 atoms:
Al (0.0000, 0.0000, 0.0000)  4 Si 2.67-2.73, 2 Zn 2.74-2.86, 4 Al 2.90-2.94
Al (0.4491, 0.5000, 0.7080)  4 Zn 2.68-2.76, 2 Si 2.69-2.91, 6 Al 2.90-2.99
Zn (0.8665, 0.0000, 0.5004)  2 Si 2.66, 6 Al 2.68-2.86, 2 Zn 2.94
Si (0.5742, 0.5000, 0.1978)  2 Zn 2.66, 6 Al 2.67-2.91, 2 Si 2.94

Output
Volume = 64.1 Å³ per cell
Magnetic moment = 0.00 Bohr magnetons per cell
Formation energy (no corrections) = 0.142 eV per atom